Crystalline SrMo2P4O16 at its relaxed geometry. Source: Alexandria, functional GGA+U. Values from VASP.

total energy: -333.47 eV per cell
crystal system: monoclinic

```
&SYSTEM
  ibrav = 0, nat = 46, ntyp = 4
/
ATOMIC_SPECIES
Sr 87.62 Sr.upf
Mo 95.94 Mo.upf
P 30.97 P.upf
O 16.00 O.upf
ATOMIC_POSITIONS crystal
Sr 0.000 0.500 0.000
Sr 0.500 0.500 0.500
Mo 0.280 0.112 0.336
Mo 0.720 0.888 0.664
Mo 0.220 0.112 0.836
Mo 0.780 0.888 0.164
P 0.400 0.155 0.063
P 0.384 0.536 0.789
P 0.900 0.845 0.437
P 0.616 0.464 0.211
P 0.100 0.155 0.563
P 0.116 0.536 0.289
P 0.884 0.464 0.711
P 0.600 0.845 0.937
O 0.150 0.415 0.231
O 0.990 0.717 0.193
O 0.229 0.595 0.828
O 0.650 0.585 0.269
O 0.793 0.779 0.365
O 0.271 0.595 0.328
O 0.293 0.221 0.135
O 0.771 0.405 0.172
O 0.507 0.637 0.067
O 0.539 0.999 0.159
O 0.380 0.870 0.414
O 0.007 0.363 0.433
O 0.461 0.001 0.841
O 0.222 0.073 0.510
O 0.993 0.637 0.567
O 0.207 0.221 0.635
O 0.039 0.001 0.341
O 0.510 0.717 0.693
O 0.350 0.415 0.731
O 0.722 0.927 0.990
O 0.961 0.999 0.659
O 0.729 0.405 0.672
O 0.850 0.585 0.769
O 0.620 0.130 0.586
O 0.010 0.283 0.807
O 0.778 0.927 0.490
O 0.490 0.283 0.307
O 0.707 0.779 0.865
O 0.278 0.073 0.010
O 0.880 0.130 0.086
O 0.493 0.363 0.933
O 0.120 0.870 0.914
CELL_PARAMETERS angstrom
7.849 0.000 0.000
0.000 8.043 -0.009
0.000 7.850 9.724
```

---

Crystalline Sm2MoPbO8 at its relaxed geometry. Source: Alexandria, functional GGA+U. Values from VASP.

total energy: -85.41 eV per cell
crystal system: monoclinic

```
&SYSTEM
  ibrav = 0, nat = 12, ntyp = 4
/
ATOMIC_SPECIES
Sm 150.36 Sm.upf
Mo 95.94 Mo.upf
Pb 207.20 Pb.upf
O 16.00 O.upf
ATOMIC_POSITIONS crystal
Sm 0.478 0.478 0.758
Sm 0.522 0.522 0.242
Mo 0.000 0.000 0.000
Pb 0.000 0.000 0.500
O 0.164 0.805 0.212
O 0.723 0.723 0.980
O 0.805 0.164 0.212
O 0.836 0.195 0.788
O 0.277 0.277 0.020
O 0.195 0.836 0.788
O 0.706 0.706 0.513
O 0.294 0.294 0.487
CELL_PARAMETERS angstrom
5.046 -0.125 0.022
-0.109 5.046 0.019
0.039 0.042 6.974
```